Record 1
{"formula": "ScTcSe2", "functional": "GGA-PBE", "state": "relaxed", "lattice": [[-5.283, -6.953, 2.176], [-2.816, -8.518, 0.707], [-2.586, -7.704, 3.865]], "species": ["Sc", "Tc", "Se", "Se"], "frac_coords": [[0.000, 0.000, 0.000], [0.500, 0.500, 0.500], [0.899, 0.899, 0.899], [0.101, 0.101, 0.101]], "relative_energy_mev_per_atom": 492, "mass_density_g_cm3": 6.13, "magnetic_moment_mub_per_atom": 0.000, "formation_energy_uncorrected_ev_per_atom": -0.207, "volume_a3_per_atom": 20.368, "crystal_system": "trigonal", "dos_ef_per_ev_fu": 2.04}



Record 2
{"formula": "ZnFeHg2", "functional": "GGA-PBE", "state": "relaxed", "lattice": [[-3.468, -0.316, -2.258], [-0.028, -4.104, 0.617], [-6.954, -0.998, 7.009]], "species": ["Zn", "Zn", "Hg", "Hg", "Hg", "Hg", "Fe", "Fe"], "frac_coords": [[0.000, 0.000, 0.000], [0.750, 0.250, 0.500], [0.622, 0.125, 0.250], [0.128, 0.625, 0.250], [0.375, 0.378, 0.750], [0.875, 0.872, 0.750], [0.500, 0.500, 0.000], [0.250, 0.750, 0.500]], "mass_density_g_cm3": 10.63, "magnetic_moment_mub_per_atom": 0.723, "formation_energy_ev_per_atom": 0.51, "volume_a3_per_atom": 20.412, "crystal_system": "tetragonal", "dos_ef_per_ev_fu": 3.42}